An optimized crystal structure of ZnTe2As, computed with GGA-PBE.

Geometry as extended XYZ:
```
4
Lattice="2.464 0.000 8.522 -1.232 2.134 8.522 -1.232 -2.134 8.522" Properties=species:S:1:pos:R:3 pbc="T T T"
As 0.000 0.000 12.783
Te 0.000 0.000 22.926
Te 0.000 0.000 2.641
Zn 0.000 0.000 0.000
```

**ΔE to the lowest computed polymorph**: 0.262 eV/atom
**N(E_F)**: 0.747 states/eV per atom
**Space-group type**: R-3m (166)
**Uncorrected formation energy**: 0.200 eV/atom